Computed, not measured: a relaxed Tb8Dy3 crystal at the PBE level of DFT.

Computed properties:
relative energy among the computed polymorphs: 0.00 eV/f.u.

The structure in POSCAR format:
```
Tb8Dy3
1.0
5.9969 3.4623 2.9138
-5.9969 3.4623 2.9138
0.0000 -6.9246 2.9138
Tb Dy
8 3
Cartesian
-2.9594 -0.8935 4.1660 Tb
0.0000 0.0000 2.1095 Tb
-0.7059 -3.0097 4.5755 Tb
-2.2535 2.1161 4.5755 Tb
2.2535 -2.1161 4.1660 Tb
0.7059 3.0097 4.1660 Tb
0.0000 0.0000 6.6320 Tb
2.9594 0.8935 4.5755 Tb
-5.9969 0.0000 4.3707 Dy
-2.9985 1.7312 1.4569 Dy
2.9985 1.7312 1.4569 Dy
```